VASP calculation (GGA-PBE) on a relaxed CePu2Pa crystal.

Cell: 3.955 3.955 7.909 Å, 75.52 75.52 60.00°
Fractional positions:
1 Ce 0.680 0.680 0.961
2 Pu 0.073 0.073 0.782
3 Pu 0.238 0.238 0.285
4 Pa 0.509 0.509 0.472


VASP calculation (GGA-PBE) on a relaxed CePuPa6 crystal.

Cell: 5.797 5.797 6.862 Å, 72.43 72.43 86.58°
Fractional positions:
1 Ce 0.500 0.500 0.500
2 Pu 0.000 0.000 0.000
3 Pa 0.122 0.669 0.276
4 Pa 0.669 0.122 0.276
5 Pa 0.331 0.878 0.724
6 Pa 0.878 0.331 0.724
7 Pa 0.280 0.280 0.039
8 Pa 0.720 0.720 0.961


Result set for ΔE to the lowest computed polymorph: 267.0; 245.8 meV per atom, one per record in the order listed.
Result set for formation energy: 0.374; 0.272 eV/atom, one per record in the order listed.